Material: PWO2F
Method: DFT, PBE+U
State: optimized geometry

a = 3.439 Å, b = 3.439 Å, c = 6.245 Å
α = 90.00°, β = 90.00°, γ = 90.00°
Last column: magnetic moment on the atom in μB.
Element x y z (fractional)
1 O 0.000 0.500 0.000  0.03
2 O 0.500 0.000 0.000  0.03
3 W 0.500 0.500 0.500  3.61
4 F 0.000 0.000 0.500  0.06
5 P 0.000 0.000 0.000  0.02

Results
Volume: 73.8 Å³ per cell
SG: P4/mmm
DOS(E_F): 0.236 states/eV/atom
Uncorrected energy: -5.3387 eV/atom
Magnetization: 0.869 μB per atom